Record 1
Er12Tm7Zr | PBE | optimized geometry

The calculation puts the energy above the lowest structure with this stoichiometry at 13.984 eV/f.u. The electronic total energy comes out at -156.70 eV/cell. For the energy of formation from the pure elements, the calculation gives 0.81 eV per atom.

The structure belongs to space group Im-3m (No. 229); the cell edges are 11.252, 11.252 and 11.252 Å and the angles 90.00°, 90.00° and 90.00°. The distinct sites, in fractional coordinates, are Er at (0.000, 0.219, 0.219), Tm at (0.000, 0.000, 0.500), Tm at (0.250, 0.250, 0.250) and Zr at (0.000, 0.000, 0.000).

***

Record 2
HIF2 | PBE | optimized geometry

The calculation puts the energy above the lowest structure with this stoichiometry at 0.000 eV/f.u. The electronic total energy comes out at -53.22 eV/cell.

The structure belongs to space group Pna2_1 (No. 33); the cell edges are 6.814, 10.537 and 4.189 Å and the angles 90.00°, 90.00° and 90.00°. The distinct sites, in fractional coordinates, are H at (0.068, 0.170, 0.000), I at (0.067, 0.411, 0.451), F at (0.037, 0.114, 0.173) and F at (0.164, 0.285, 0.804).